w) The following is a PBE-GGA calculation of an optimized crystal structure of BeV3Bi, from Alexandria via LeMat-Bulk.

Cell and atoms, written as extended XYZ:
```
5
Lattice="5.151 0.000 0.000 0.000 5.151 0.000 0.000 0.000 5.151" Properties=species:S:1:pos:R:3 pbc="T T T"
Be 0.000 0.000 0.000
V 0.000 2.576 2.576
V 2.576 0.000 2.576
V 2.576 2.576 0.000
Bi 2.576 2.576 2.576
```

Summary:
Space-group type   Pm-3m
DOS(E_F)   10.0 states/eV/f.u.
Density   4.50 g/cm³

x) The following is a PBE-GGA calculation of an optimized crystal structure of BeV3Bi, from Alexandria via LeMat-Bulk.

Cell and atoms, written as extended XYZ:
```
5
Lattice="4.251 0.000 0.000 0.000 4.251 0.000 0.000 0.000 4.251" Properties=species:S:1:pos:R:3 pbc="T T T"
Be 0.000 0.000 0.000
V 0.000 0.000 2.126
V 0.000 2.126 0.000
V 2.126 0.000 0.000
Bi 2.126 2.126 2.126
```

Summary:
Space-group type   Pm-3m
DOS(E_F)   5.9 states/eV/f.u.
Density   8.01 g/cm³

Of them, the most stable is x) and the least stable is w).

w) The following is a PBE-GGA calculation of an optimized crystal structure of YBeBi3, from Alexandria via LeMat-Bulk.

Cell and atoms, written as extended XYZ:
```
5
Lattice="5.878 0.000 0.000 0.000 5.878 0.000 0.000 0.000 5.878" Properties=species:S:1:pos:R:3 pbc="T T T"
Y 0.000 0.000 0.000
Be 2.939 2.939 2.939
Bi 0.000 0.000 2.939
Bi 0.000 2.939 0.000
Bi 2.939 0.000 0.000
```

Summary:
Space-group type   Pm-3m
DOS(E_F)   4.5 states/eV/f.u.
Density   5.93 g/cm³

x) The following is a PBE-GGA calculation of an optimized crystal structure of YBeBi3, from Alexandria via LeMat-Bulk.

Cell and atoms, written as extended XYZ:
```
5
Lattice="5.188 0.000 0.000 0.000 5.188 0.000 0.000 0.000 5.188" Properties=species:S:1:pos:R:3 pbc="T T T"
Y 0.000 0.000 0.000
Be 2.594 2.594 2.594
Bi 0.000 2.594 2.594
Bi 2.594 0.000 2.594
Bi 2.594 2.594 0.000
```

Summary:
Space-group type   Pm-3m
DOS(E_F)   4.5 states/eV/f.u.
Density   8.62 g/cm³

Of them, the most stable is x) and the least stable is w).

w) The following is a PBE-GGA calculation of an optimized crystal structure of Y2BeBi, from Alexandria via LeMat-Bulk.

Cell and atoms, written as extended XYZ:
```
4
Lattice="0.000 3.693 3.693 3.693 0.000 3.693 3.693 3.693 0.000" Properties=species:S:1:pos:R:3 pbc="T T T"
Y 1.847 1.847 1.847
Y 5.540 5.540 5.540
Be 0.000 0.000 0.000
Bi 3.693 3.693 3.693
```

Summary:
Space-group type   Fm-3m
DOS(E_F)   3.9 states/eV/f.u.
Density   6.52 g/cm³

x) The following is a PBE-GGA calculation of an optimized crystal structure of Y2BeBi, from Alexandria via LeMat-Bulk.

Cell and atoms, written as extended XYZ:
```
8
Lattice="-3.928 3.928 3.467 3.928 -3.928 3.467 3.928 3.928 -3.467" Properties=species:S:1:pos:R:3 pbc="T T T"
Y 5.891 1.658 -0.867
Y 1.658 1.964 0.867
Y -1.964 2.269 2.600
Y 2.269 1.964 4.333
Be 0.000 0.000 0.000
Be 0.000 3.928 1.733
Bi 3.928 0.000 1.733
Bi 0.000 0.000 3.467
```

Summary:
Space-group type   I-42d
DOS(E_F)   4.5 states/eV/f.u.
Density   6.15 g/cm³

Of them, the most stable is w) and the least stable is x).

w) The following is a PBE-GGA calculation of an optimized crystal structure of BeZnBi2, from Alexandria via LeMat-Bulk.

Cell and atoms, written as extended XYZ:
```
8
Lattice="-3.111 3.111 5.783 3.111 -3.111 5.783 3.111 3.111 -5.783" Properties=species:S:1:pos:R:3 pbc="T T T"
Be 0.000 0.000 0.000
Be 0.000 3.111 2.891
Zn 3.111 0.000 2.891
Zn 0.000 0.000 5.783
Bi 4.667 1.325 -1.446
Bi 1.325 1.556 1.446
Bi -1.556 1.786 4.337
Bi 1.786 1.556 7.228
```

Summary:
Space-group type   I-42d
DOS(E_F)   1.7 states/eV/f.u.
Density   7.30 g/cm³

x) The following is a PBE-GGA calculation of an optimized crystal structure of BeZnBi2, from Alexandria via LeMat-Bulk.

Cell and atoms, written as extended XYZ:
```
4
Lattice="0.000 3.567 3.567 3.567 0.000 3.567 3.567 3.567 0.000" Properties=species:S:1:pos:R:3 pbc="T T T"
Be 0.000 0.000 0.000
Zn 3.567 3.567 3.567
Bi 1.784 1.784 1.784
Bi 5.351 5.351 5.351
```

Summary:
Space-group type   Fm-3m
DOS(E_F)   2.9 states/eV/f.u.
Density   9.01 g/cm³

Of them, the most stable is w) and the least stable is x).

w) The following is a PBE-GGA calculation of an optimized crystal structure of Be2ZnBi, from Alexandria via LeMat-Bulk.

Cell and atoms, written as extended XYZ:
```
8
Lattice="-2.125 2.125 7.860 2.125 -2.125 7.860 2.125 2.125 -7.860" Properties=species:S:1:pos:R:3 pbc="T T T"
Be 0.309 1.063 1.965
Be -1.063 1.816 5.895
Be -0.309 3.188 1.965
Be 1.063 2.434 5.895
Zn 0.000 0.000 0.000
Zn 0.000 2.125 3.930
Bi 2.125 0.000 3.930
Bi 0.000 0.000 7.860
```

Summary:
Space-group type   I-42d
DOS(E_F)   1.2 states/eV/f.u.
Density   6.84 g/cm³

x) The following is a PBE-GGA calculation of an optimized crystal structure of Be2ZnBi, from Alexandria via LeMat-Bulk.

Cell and atoms, written as extended XYZ:
```
4
Lattice="0.000 3.250 3.250 3.250 0.000 3.250 3.250 3.250 0.000" Properties=species:S:1:pos:R:3 pbc="T T T"
Be 1.625 1.625 1.625
Be 4.875 4.875 4.875
Zn 0.000 0.000 0.000
Bi 3.250 3.250 3.250
```

Summary:
Space-group type   Fm-3m
DOS(E_F)   2.9 states/eV/f.u.
Density   7.07 g/cm³

Of them, the most stable is w) and the least stable is x).

w) The following is a PBE-GGA calculation of an optimized crystal structure of Zr2BeBi, from Alexandria via LeMat-Bulk.

Cell and atoms, written as extended XYZ:
```
8
Lattice="-3.771 3.771 3.012 3.771 -3.771 3.012 3.771 3.771 -3.012" Properties=species:S:1:pos:R:3 pbc="T T T"
Zr 5.656 1.666 -0.753
Zr 1.666 1.885 0.753
Zr -1.885 2.104 2.259
Zr 2.104 1.885 3.765
Be 0.000 0.000 0.000
Be 0.000 3.771 1.506
Bi 3.771 0.000 1.506
Bi 0.000 0.000 3.012
```

Summary:
Space-group type   I-42d
DOS(E_F)   2.8 states/eV/f.u.
Density   7.76 g/cm³

x) The following is a PBE-GGA calculation of an optimized crystal structure of Zr2BeBi, from Alexandria via LeMat-Bulk.

Cell and atoms, written as extended XYZ:
```
4
Lattice="0.000 3.468 3.468 3.468 0.000 3.468 3.468 3.468 0.000" Properties=species:S:1:pos:R:3 pbc="T T T"
Zr 1.734 1.734 1.734
Zr 5.202 5.202 5.202
Be 0.000 0.000 0.000
Bi 3.468 3.468 3.468
```

Summary:
Space-group type   Fm-3m
DOS(E_F)   6.0 states/eV/f.u.
Density   7.97 g/cm³

Of them, the most stable is w) and the least stable is x).

w) The following is a PBE-GGA calculation of an optimized crystal structure of Zr3BeBi, from Alexandria via LeMat-Bulk.

Cell and atoms, written as extended XYZ:
```
5
Lattice="5.371 0.000 0.000 0.000 5.371 0.000 0.000 0.000 5.371" Properties=species:S:1:pos:R:3 pbc="T T T"
Zr 0.000 0.000 2.686
Zr 0.000 2.686 0.000
Zr 2.686 0.000 0.000
Be 2.686 2.686 2.686
Bi 0.000 0.000 0.000
```

Summary:
Space-group type   Pm-3m
DOS(E_F)   7.2 states/eV/f.u.
Density   5.27 g/cm³

x) The following is a PBE-GGA calculation of an optimized crystal structure of Zr3BeBi, from Alexandria via LeMat-Bulk.

Cell and atoms, written as extended XYZ:
```
5
Lattice="4.777 0.000 0.000 0.000 4.777 0.000 0.000 0.000 4.777" Properties=species:S:1:pos:R:3 pbc="T T T"
Zr 0.000 0.000 2.389
Zr 0.000 2.389 0.000
Zr 2.389 0.000 0.000
Be 0.000 0.000 0.000
Bi 2.389 2.389 2.389
```

Summary:
Space-group type   Pm-3m
DOS(E_F)   4.1 states/eV/f.u.
Density   7.49 g/cm³

Of them, the most stable is x) and the least stable is w).

w) The following is a PBE-GGA calculation of an optimized crystal structure of ZrBeBi3, from Alexandria via LeMat-Bulk.

Cell and atoms, written as extended XYZ:
```
5
Lattice="5.659 0.000 0.000 0.000 5.659 0.000 0.000 0.000 5.659" Properties=species:S:1:pos:R:3 pbc="T T T"
Zr 0.000 0.000 0.000
Be 2.829 2.829 2.829
Bi 0.000 0.000 2.829
Bi 0.000 2.829 0.000
Bi 2.829 0.000 0.000
```

Summary:
Space-group type   Pm-3m
DOS(E_F)   3.9 states/eV/f.u.
Density   6.66 g/cm³

x) The following is a PBE-GGA calculation of an optimized crystal structure of ZrBeBi3, from Alexandria via LeMat-Bulk.

Cell and atoms, written as extended XYZ:
```
5
Lattice="5.097 0.000 0.000 0.000 5.097 0.000 0.000 0.000 5.097" Properties=species:S:1:pos:R:3 pbc="T T T"
Zr 0.000 0.000 0.000
Be 2.549 2.549 2.549
Bi 0.000 2.549 2.549
Bi 2.549 0.000 2.549
Bi 2.549 2.549 0.000
```

Summary:
Space-group type   Pm-3m
DOS(E_F)   5.0 states/eV/f.u.
Density   9.12 g/cm³

Of them, the most stable is x) and the least stable is w).